The following is a GGA-PBE calculation of a relaxed structure of PrHoCu4, from the Open Quantum Materials Database.

The total magnetic moment comes out at 0.000 μB/atom. The raw total energy comes out at -25.59 eV for the cell shown. The formation energy is -0.228 eV/atom. The value obtained for the mass density is 8.27 Mg/m³.

Lattice parameters (Å, degrees): 5.5491 5.5491 5.5491 134.28 101.72 95.66
With the nearest neighbours (Å) after each atom.
Positions (direct):
Cu1 0.8637 0.6633 0.2004  3 Cu 2.50-2.54
Cu2 0.6264 0.3335 0.2929  3 Cu 2.50-2.54
Cu3 0.0406 0.3335 0.7071  3 Cu 2.50-2.54
Cu4 0.4630 0.6633 0.7996  3 Cu 2.50-2.54
Ho1 0.4654 0.9654 0.5000  12 Cu 2.97-3.13
Pr1 0.0409 0.0409 0.0000  12 Cu 2.99-3.14